1.
An optimized crystal structure of MnHg2Sb. Source: the Alexandria database, functional PBE.

Lattice parameters (Å, degrees): 3.069 4.630 13.515 90.00 90.00 90.00
Space group Immm (No. 71)
Asymmetric unit:
Mn: 0.000 0.000 0.000 (multiplicity 2)
Hg: 0.000 0.500 0.310 (multiplicity 4)
Sb: 0.000 0.000 0.500 (multiplicity 2)

Output
Total energy in eV/atom: -3.257
ΔE_f (raw) in eV/f.u.: 0.9
M_tot in μB per formula unit: 3.92

---

2.
An optimized crystal structure of InSeN3. Source: the Alexandria database, functional PBE.

Lattice parameters (Å, degrees): 4.284 4.284 4.284 90.00 90.00 90.00
Space group Pm-3m (No. 221)
Asymmetric unit:
In: 0.000 0.000 0.000 (multiplicity 1)
Se: 0.500 0.500 0.500 (multiplicity 1)
N: 0.000 0.000 0.500 (multiplicity 3)

Output
Total energy in eV/atom: -3.953
ΔE_f (raw) in eV/f.u.: 11.4
M_tot in μB per formula unit: 3.69

---

3.
An optimized crystal structure of AgSb2F. Source: the Alexandria database, functional PBE.

Lattice parameters (Å, degrees): 6.789 6.789 6.789 90.00 90.00 90.00
Space group Fm-3m (No. 225)
Asymmetric unit:
Ag: 0.000 0.000 0.000 (multiplicity 4)
Sb: 0.250 0.250 0.250 (multiplicity 8)
F: 0.000 0.000 0.500 (multiplicity 4)

Output
Total energy in eV/atom: -3.707
ΔE_f (raw) in eV/f.u.: -1.9
M_tot in μB per formula unit: 0.00
Energy above the most stable polymorph in this dataset in eV per atom: 0.0000

---

4.
An optimized crystal structure of NdTmC. Source: the Alexandria database, functional PBE.

Lattice parameters (Å, degrees): 3.633 4.989 7.937 90.00 90.00 90.00
Space group Pmmn (No. 59, origin choice 2)
Asymmetric unit:
Nd: 0.250 0.250 0.165 (multiplicity 2)
Tm: 0.250 0.250 0.592 (multiplicity 2)
C: 0.250 0.750 0.619 (multiplicity 2)

Output
Total energy in eV/atom: -6.353
Energy relative to the elements in eV per atom: -0.198
M_tot in μB per formula unit: 0.00
Energy above the most stable polymorph in this dataset in eV per atom: 0.0000

---

5.
An optimized crystal structure of TiSb2Pd8. Source: the Alexandria database, functional PBE.

Lattice parameters (Å, degrees): 4.044 7.523 12.222 90.00 90.00 90.00
Space group Immm (No. 71)
Asymmetric unit:
Ti: 0.000 0.000 0.000 (multiplicity 2)
Sb: 0.000 0.000 0.325 (multiplicity 4)
Pd: 0.000 0.218 0.500 (multiplicity 4)
Pd: 0.000 0.261 0.163 (multiplicity 8)
Pd: 0.000 0.500 0.356 (multiplicity 4)

Output
Total energy in eV/atom: -5.730
ΔE_f (raw) in eV/f.u.: -5.3
M_tot in μB per formula unit: 0.00
Energy above the most stable polymorph in this dataset in eV per atom: 0.0000

---

6.
An optimized crystal structure of LaY4Au5. Source: the Alexandria database, functional PBE.

Lattice parameters (Å, degrees): 3.608 3.608 18.525 90.00 90.00 90.00
Space group P4/mmm (No. 123)
Asymmetric unit:
La: 0.000 0.000 0.000 (multiplicity 1)
Y: 0.000 0.000 0.206 (multiplicity 2)
Y: 0.000 0.000 0.402 (multiplicity 2)
Au: 0.500 0.500 0.113 (multiplicity 2)
Au: 0.500 0.500 0.304 (multiplicity 2)
Au: 0.500 0.500 0.500 (multiplicity 1)

Output
Total energy in eV/atom: -5.562
Energy relative to the elements in eV per atom: -0.845
M_tot in μB per formula unit: 0.00